No. 1
Compound: Na19Zr11S30
Source: Alexandria via LeMat-Bulk
Functional: GGA-PBE
Structure: optimized geometry

abc: 11.0847 11.4927 11.7032
angles: 119.41 100.67 90.00
Last column: nearest neighbours and their distance in Å.
Positions (direct):
Na  0.3057  0.2621  0.2046  6 S 2.76-2.95
Na  0.1020  0.8609  0.3987  6 S 2.79-2.95
Na  0.5000  0.6590  0.0000  6 S 2.80-2.98
Na  0.8980  0.4622  0.6013  6 S 2.79-2.95
Na  0.6943  0.0575  0.7954  6 S 2.76-2.95
Na  0.1020  0.5378  0.3987  6 S 2.79-2.95
Na  0.8980  0.1391  0.6013  6 S 2.79-2.95
Na  0.3057  0.9425  0.2046  6 S 2.76-2.95
Na  0.6943  0.7379  0.7954  6 S 2.76-2.95
Na  0.5000  0.3410  0.0000  6 S 2.80-2.98
Na  0.3007  0.6005  0.2010  6 S 2.76-2.96
Na  0.1015  0.2042  0.4084  6 S 2.74-2.96
Na  0.5000  0.0000  0.0000  6 S 2.90-2.91
Na  0.8985  0.7958  0.5916  6 S 2.74-2.96
Na  0.6993  0.3995  0.7990  6 S 2.76-2.96
Na  0.3997  0.7996  0.5991  6 S 2.80-2.82
Na  0.7990  0.5990  0.1981  6 S 2.80-2.82
Na  0.2010  0.4010  0.8019  6 S 2.80-2.82
Na  0.6003  0.2004  0.4009  6 S 2.80-2.82
Zr  0.0000  0.3364  0.0000  6 S 2.58-2.67
Zr  0.8015  0.9322  0.1986  6 S 2.58-2.66
Zr  0.1985  0.7336  0.8014  6 S 2.58-2.66
Zr  0.6021  0.5288  0.3971  6 S 2.58-2.61
Zr  0.3979  0.1317  0.6029  6 S 2.58-2.61
Zr  0.8015  0.2664  0.1986  6 S 2.58-2.66
Zr  0.6021  0.8683  0.3971  6 S 2.58-2.61
Zr  0.0000  0.6636  0.0000  6 S 2.58-2.67
Zr  0.3979  0.4712  0.6029  6 S 2.58-2.61
Zr  0.1985  0.0678  0.8014  6 S 2.58-2.66
Zr  0.0000  0.0000  0.0000  6 S 2.65
S  0.1650  0.4868  0.6111  2 Zr 2.58-2.60, 2 Na 2.79-2.82
S  0.9635  0.0753  0.8168  3 Zr 2.64-2.67, 2 Na 2.93-2.95
S  0.3694  0.8854  0.4102  2 Zr 2.58-2.61, 2 Na 2.76-2.80
S  0.7691  0.6847  0.0074  2 Zr 2.58, 2 Na 2.82
S  0.5696  0.2800  0.2058  2 Zr 2.59, 2 Na 2.80-2.82
S  0.3694  0.5248  0.4102  2 Zr 2.58-2.61, 2 Na 2.76-2.80
S  0.1650  0.1243  0.6111  2 Zr 2.58-2.60, 2 Na 2.79-2.82
S  0.5696  0.9258  0.2058  2 Zr 2.59, 2 Na 2.80-2.82
S  0.9635  0.7415  0.8168  3 Zr 2.64-2.67, 2 Na 2.93-2.95
S  0.7691  0.3227  0.0074  2 Zr 2.58, 2 Na 2.82
S  0.2309  0.3153  0.9926  2 Zr 2.58, 2 Na 2.82
S  0.0365  0.9247  0.1832  3 Zr 2.64-2.67, 2 Na 2.93-2.95
S  0.4304  0.7200  0.7942  2 Zr 2.59, 2 Na 2.80-2.82
S  0.8350  0.5132  0.3889  2 Zr 2.58-2.60, 2 Na 2.79-2.82
S  0.6306  0.1146  0.5898  2 Zr 2.58-2.61, 2 Na 2.76-2.80
S  0.0365  0.2585  0.1832  3 Zr 2.64-2.67, 2 Na 2.93-2.95
S  0.8350  0.8757  0.3889  2 Zr 2.58-2.60, 2 Na 2.79-2.82
S  0.2309  0.6773  0.9926  2 Zr 2.58, 2 Na 2.82
S  0.6306  0.4752  0.5898  2 Zr 2.58-2.61, 2 Na 2.76-2.80
S  0.4304  0.0742  0.7942  2 Zr 2.59, 2 Na 2.80-2.82
S  0.8483  0.1868  0.3735  2 Zr 2.60, 2 Na 2.75-2.82
S  0.6476  0.7852  0.5704  2 Zr 2.61, 4 Na 2.74-2.90
S  0.0472  0.5895  0.1790  2 Zr 2.59, 4 Na 2.77-2.87
S  0.4471  0.3881  0.7762  2 Zr 2.61, 4 Na 2.76-2.88
S  0.2361  0.9929  0.9859  3 Zr 2.65-2.66, 3 Na 2.87-2.90
S  0.5529  0.6119  0.2238  2 Zr 2.61, 4 Na 2.76-2.88
S  0.3524  0.2148  0.4296  2 Zr 2.61, 4 Na 2.74-2.90
S  0.7639  0.0071  0.0141  3 Zr 2.65-2.66, 3 Na 2.87-2.90
S  0.1517  0.8132  0.6265  2 Zr 2.60, 2 Na 2.75-2.82
S  0.9528  0.4105  0.8210  2 Zr 2.59, 4 Na 2.77-2.87

No. 2
Compound: Na5ZrS4
Source: Alexandria via LeMat-Bulk
Functional: GGA-PBE
Structure: optimized geometry

abc: 3.9489 7.8303 8.6827
angles: 101.78 103.14 90.00
Last column: nearest neighbours and their distance in Å.
Positions (direct):
Na  0.8396  0.6762  0.6793  3 S 2.68-2.78
Na  0.8241  0.1337  0.6482  4 S 2.71-2.81
Na  0.1759  0.8663  0.3518  4 S 2.71-2.81
Na  0.5000  0.5000  0.0000  4 S 2.87
Na  0.1604  0.3238  0.3207  3 S 2.68-2.78
Zr  0.5000  0.0000  0.0000  6 S 2.56-2.70
S  0.3452  0.9097  0.6904  1 Zr 2.56, 5 Na 2.68-2.81
S  0.0073  0.7693  0.0146  2 Zr 2.70, 4 Na 2.78-2.87
S  0.6548  0.0903  0.3096  1 Zr 2.56, 5 Na 2.68-2.81
S  0.9927  0.2307  0.9854  2 Zr 2.70, 4 Na 2.78-2.87

No. 3
Compound: Na2ZrS
Source: Alexandria via LeMat-Bulk
Functional: GGA-PBE
Structure: optimized geometry

abc: 9.2439 9.2439 7.0042
angles: 48.71 48.71 90.00
Last column: nearest neighbours and their distance in Å.
Positions (direct):
Na  0.5330  0.1250  0.2500  2 S 2.81, 2 Na 3.04
Na  0.2170  0.6250  0.2500  2 S 2.81, 2 Na 3.04
Na  0.3750  0.4670  0.7500  2 S 2.81, 2 Na 3.04
Na  0.8750  0.7830  0.7500  2 S 2.81, 2 Na 3.04
S  0.5000  0.5000  0.0000  2 Zr 2.52, 4 Na 2.81
S  0.2500  0.7500  0.5000  2 Zr 2.52, 4 Na 2.81
Zr  0.0000  0.0000  0.0000  2 S 2.52
Zr  0.7500  0.2500  0.5000  2 S 2.52

No. 4
Compound: NaSb
Source: Alexandria via LeMat-Bulk
Functional: GGA-PBE
Structure: optimized geometry

abc: 8.7678 8.7678 8.7678
angles: 90.00 90.00 90.00
Last column: nearest neighbours and their distance in Å.
Positions (direct):
Na  0.2500  0.0000  0.5000  4 Sb 3.10
Na  0.7500  0.0000  0.5000  4 Sb 3.10
Na  0.0000  0.5000  0.2500  4 Sb 3.10
Na  0.0000  0.5000  0.7500  4 Sb 3.10
Na  0.5000  0.2500  0.0000  4 Sb 3.10
Na  0.5000  0.7500  0.0000  4 Sb 3.10
Sb  0.2500  0.5000  0.0000  4 Na 3.10
Sb  0.7500  0.5000  0.0000  4 Na 3.10
Sb  0.5000  0.0000  0.2500  4 Na 3.10
Sb  0.5000  0.0000  0.7500  4 Na 3.10
Sb  0.0000  0.2500  0.5000  4 Na 3.10
Sb  0.0000  0.7500  0.5000  4 Na 3.10

What are the VASP energy values for these records? In order: -0.202 -0.156 -0.145 -0.080 Ha/atom.
What are the formation energy (no corrections) values for these records? In order: -1.4478 -1.0917 -0.1111 0.5562 eV/atom.